Entry 1:
Material: As2OsAu
Method: DFT, PBEsol
State: relaxed

## Properties
- Symmetry: Pmmm (47)
- Energy above the lowest structure with this stoichiometry: 48.8 meV/atom
- ΔH_f (0 K): 0.50 eV/atom

a b c (Å): 2.6824 4.7334 5.2068
angles (deg): 90.00 90.00 90.00
Sites, in units of the cell vectors:
As (0.0000, 0.0000, 0.2426)
As (0.0000, 0.0000, 0.7574)
Os (0.0000, 0.5000, 0.0000)
Au (0.5000, 0.5000, 0.5000)

***

Entry 2:
Material: As2OsAu
Method: DFT, PBEsol
State: relaxed

## Properties
- Symmetry: P4/mmm (123)
- Energy above the lowest structure with this stoichiometry: 69.5 meV/atom
- ΔH_f (0 K): 0.52 eV/atom

a b c (Å): 3.0942 4.5544 4.5544
angles (deg): 90.00 90.00 90.00
Sites, in units of the cell vectors:
As (0.0000, 0.5000, 0.0000)
As (0.0000, 0.0000, 0.5000)
Au (0.5000, 0.5000, 0.5000)
Os (0.5000, 0.0000, 0.0000)

***

Entry 3:
Material: AsOsAu2
Method: DFT, PBEsol
State: relaxed

## Properties
- Symmetry: Immm (71)
- ΔH_f (0 K): 0.53 eV/atom

a b c (Å): 3.0862 3.8990 6.1267
angles (deg): 108.55 104.59 90.00
Sites, in units of the cell vectors:
As (0.0000, 0.5000, 0.0000)
Au (0.3025, 0.3025, 0.6050)
Au (0.6975, 0.6975, 0.3950)
Os (0.5000, 0.0000, 0.0000)

***

Entry 4:
Material: As2OsAu
Method: DFT, PBEsol
State: relaxed

## Properties
- Symmetry: Cmm2 (35)
- Energy above the lowest structure with this stoichiometry: 0.0 meV/atom
- ΔH_f (0 K): 0.45 eV/atom

a b c (Å): 2.8430 2.8430 9.7063
angles (deg): 90.00 90.00 118.56
Sites, in units of the cell vectors:
Au (0.0000, 0.0000, 0.4894)
As (0.5000, 0.5000, 0.7289)
As (0.0000, 0.0000, 0.0391)
Os (0.5000, 0.5000, 0.2425)

***

Entry 5:
Material: AsP3Au
Method: DFT, PBEsol
State: relaxed

## Properties
- Symmetry: Pm-3m (221)
- ΔH_f (0 K): 1.20 eV/atom

a b c (Å): 4.7192 4.7192 4.7192
angles (deg): 90.00 90.00 90.00
Sites, in units of the cell vectors:
Au (0.0000, 0.0000, 0.0000)
As (0.5000, 0.5000, 0.5000)
P (0.5000, 0.0000, 0.0000)
P (0.0000, 0.0000, 0.5000)
P (0.0000, 0.5000, 0.0000)

***

Entry 6:
Material: As2PAu
Method: DFT, PBEsol
State: relaxed

## Properties
- Symmetry: P4/mmm (123)
- ΔH_f (0 K): 0.11 eV/atom

a b c (Å): 2.6593 5.2146 5.2150
angles (deg): 90.00 90.00 90.00
Sites, in units of the cell vectors:
As (0.5000, 0.5000, 0.6249)
As (0.5000, 0.0000, 0.1251)
P (0.5000, 0.5000, 0.1248)
Au (0.5000, 0.0000, 0.6251)

***

What is the ΔH_f (0 K) in the third record? 0.53 eV/atom

***

What is the ΔH_f (0 K) in the sixth record? 0.11 eV/atom

***

Which value of ΔH_f (0 K) does entry 5 give? 1.20 eV/atom